1.
Below is crystalline CaAc2Al4Pt3 at its relaxed geometry, with properties calculated at the GGA-PBE level.

The structure in extended XYZ format:
```
10
Lattice="4.431 0.000 0.000 0.000 4.431 0.000 0.000 0.000 11.520" Properties=species:S:1:pos:R:3 pbc="T T T"
Ca 0.000 0.000 0.000
Ac 0.000 2.215 8.377
Ac 2.215 0.000 3.143
Al 0.000 0.000 5.760
Al 0.000 2.215 1.887
Al 2.215 0.000 9.633
Al 2.215 2.215 5.760
Pt 0.000 2.215 4.405
Pt 2.215 0.000 7.115
Pt 2.215 2.215 0.000
```

Values from the calculation:
The value obtained for the energy of formation is -0.82 eV per atom.


2.
Below is crystalline CaAcAl2Pt2 at its relaxed geometry, with properties calculated at the GGA-PBE level.

The structure in extended XYZ format:
```
6
Lattice="4.450 0.000 0.000 -2.225 3.854 0.000 0.000 0.000 8.051" Properties=species:S:1:pos:R:3 pbc="T T T"
Ca 0.000 0.000 0.000
Ac 0.000 0.000 4.025
Al 0.000 2.569 6.300
Al 2.225 1.285 1.751
Pt 0.000 2.569 1.870
Pt 2.225 1.285 6.181
```

Values from the calculation:
The value obtained for the energy of formation is -0.91 eV per atom.


3.
Below is crystalline CaAc2Al12Pt3 at its relaxed geometry, with properties calculated at the GGA-PBE level.

The structure in extended XYZ format:
```
18
Lattice="4.315 2.491 7.387 -4.315 2.491 7.387 0.000 -4.982 7.387" Properties=species:S:1:pos:R:3 pbc="T T T"
Ca 0.000 0.000 0.000
Ac 0.000 0.000 8.851
Ac 0.000 0.000 13.310
Al -2.332 -1.346 10.769
Al 0.000 -1.701 6.090
Al -1.473 0.850 6.090
Al 0.000 -2.693 11.393
Al -2.332 1.346 11.393
Al -1.473 -0.850 16.072
Al 1.473 0.850 6.090
Al 2.332 -1.346 10.769
Al 0.000 2.693 10.769
Al 1.473 -0.850 16.072
Al 0.000 1.701 16.072
Al 2.332 1.346 11.393
Pt -4.315 0.000 11.081
Pt -2.157 1.246 3.694
Pt 2.157 1.246 3.694
```

Values from the calculation:
The value obtained for the energy of formation is -0.14 eV per atom.


4.
Below is crystalline CaAcAlS4 at its relaxed geometry, with properties calculated at the GGA-PBE level.

The structure in extended XYZ format:
```
14
Lattice="6.661 0.000 0.000 0.000 6.718 0.000 -2.488 0.000 7.682" Properties=species:S:1:pos:R:3 pbc="T T T"
Ca 1.334 1.679 0.398
Ca 2.838 5.038 7.284
Ac 0.295 1.679 4.338
Ac 3.878 5.038 3.344
Al -0.424 5.038 6.261
Al 4.596 1.679 1.422
S -1.829 0.013 5.774
S -1.829 3.346 5.774
S 1.313 5.038 4.827
S 2.695 5.038 0.700
S 1.477 1.679 6.983
S 2.860 1.679 2.856
S 6.002 3.372 1.908
S 6.002 6.705 1.908
```

Values from the calculation:
The total energy comes out at -5.534 eV per atom.


5.
Below is crystalline CaAcAlSi at its relaxed geometry, with properties calculated at the GGA-PBE level.

The structure in extended XYZ format:
```
4
Lattice="0.000 3.789 3.789 3.789 0.000 3.789 3.789 3.789 0.000" Properties=species:S:1:pos:R:3 pbc="T T T"
Ca 0.000 0.000 0.000
Ac 3.789 3.789 3.789
Al 1.894 1.894 1.894
Si 5.683 5.683 5.683
```

Values from the calculation:
The total energy comes out at -4.043 eV per atom.


6.
Below is crystalline CaAcAlSi at its relaxed geometry, with properties calculated at the GGA-PBE level.

The structure in extended XYZ format:
```
4
Lattice="4.167 0.000 0.000 0.000 2.337 5.839 0.000 -2.337 5.839" Properties=species:S:1:pos:R:3 pbc="T T T"
Ca 0.000 0.000 0.000
Ac 2.084 0.000 3.265
Al 2.084 0.000 6.658
Si 0.000 0.000 8.205
```

Values from the calculation:
The total energy comes out at -4.271 eV per atom.


7.
Below is crystalline CaAcSmAl at its relaxed geometry, with properties calculated at the GGA-PBE level.

The structure in extended XYZ format:
```
4
Lattice="0.000 3.999 3.999 3.999 0.000 3.999 3.999 3.999 0.000" Properties=species:S:1:pos:R:3 pbc="T T T"
Ca 0.000 0.000 0.000
Ac 5.998 5.998 5.998
Sm 1.999 1.999 1.999
Al 3.999 3.999 3.999
```

Values from the calculation:
The value obtained for the energy of formation is -0.03 eV per atom.


8.
Below is crystalline Ca2AcAl2Sn2 at its relaxed geometry, with properties calculated at the GGA-PBE level.

The structure in extended XYZ format:
```
7
Lattice="2.349 1.356 10.787 -2.349 1.356 10.787 0.000 -2.713 10.787" Properties=species:S:1:pos:R:3 pbc="T T T"
Ca 0.000 0.000 4.261
Ca 0.000 0.000 28.100
Ac 0.000 0.000 0.000
Al 0.000 0.000 12.726
Al 0.000 0.000 19.635
Sn 0.000 0.000 8.053
Sn 0.000 0.000 24.308
```

Values from the calculation:
The value obtained for the energy of formation is -0.35 eV per atom.


Respective size of the total moment values: 0.00; 0.00; 0.00; 0.00; 0.00; 0.00; 0.00; 0.00 μB/f.u..